A relaxed structure of SmEuGdHo. Source: Alexandria, functional GGA-PBE.

Calculated values
E   -8.26 eV/atom
Formation energy   155 meV per atom
Density of states at the Fermi level   8.2 states/eV/cell

Cell: 5.7774 5.7774 5.7774 Å, 60.00 60.00 60.00°
Last column: nearest neighbours and their distance in Å.
Sites, in units of the cell vectors:
1 Sm 0.0000 0.0000 0.0000  4 Gd 3.54, 4 Eu 3.54
2 Eu 0.2500 0.2500 0.2500  4 Ho 3.54, 4 Sm 3.54
3 Gd 0.7500 0.7500 0.7500  4 Ho 3.54, 4 Sm 3.54
4 Ho 0.5000 0.5000 0.5000  4 Gd 3.54, 4 Eu 3.54